This record from the Alexandria database describes a geometry-optimized CsVF3 structure. The functional is GGA+U.

Values from the calculation:
**Calculated total energy**: -53.6 eV/cell
**ρ**: 4.6 g/cm³

a b c (Å): 3.506 5.832 8.511
angles (deg): 90.00 90.00 90.00
Positions (direct):
Cs 0.250 0.250 0.144
Cs 0.750 0.750 0.856
V 0.250 0.750 0.386
V 0.750 0.250 0.614
F 0.250 0.021 0.621
F 0.250 0.479 0.621
F 0.250 0.750 0.141
F 0.750 0.250 0.859
F 0.750 0.521 0.379
F 0.750 0.979 0.379